Record 1
# TbHfZnHg (PBE-GGA, optimized geometry)
data_TbHfZnHg
_chemical_formula_sum 'Tb4 Hf4 Zn4 Hg4'
_cell_length_a 7.0777
_cell_length_b 7.0777
_cell_length_c 7.0777
_cell_angle_alpha 90.00
_cell_angle_beta 90.00
_cell_angle_gamma 90.00
_space_group_name_H-M_alt 'F -4 3 m'
_space_group_IT_number 216
_space_group_name_Hall 'F -4 2 3'
loop_
_atom_site_label
_atom_site_fract_x
_atom_site_fract_y
_atom_site_fract_z
Tb1 0.0000 0.0000 0.0000
Hf1 0.0000 0.0000 0.5000
Zn1 0.2500 0.2500 0.7500
Hg1 0.2500 0.2500 0.2500
# Calculated formation energy (meV per atom): -142.7
# Crystal system: cubic

Record 2
# Hf6TcHg2 (PBE-GGA, optimized geometry)
data_Hf6TcHg2
_chemical_formula_sum 'Hf12 Tc2 Hg4'
_cell_length_a 4.7150
_cell_length_b 6.5981
_cell_length_c 13.8090
_cell_angle_alpha 90.00
_cell_angle_beta 90.00
_cell_angle_gamma 90.00
_space_group_name_H-M_alt 'I m m m'
_space_group_IT_number 71
_space_group_name_Hall '-I 2 2'
loop_
_atom_site_label
_atom_site_fract_x
_atom_site_fract_y
_atom_site_fract_z
Hf1 0.0000 0.2321 0.0000
Hf2 0.0000 0.2583 0.3441
Tc1 0.0000 0.5000 0.5000
Hg1 0.0000 0.5000 0.1696
# Calculated formation energy (meV per atom): 229.3
# Crystal system: orthorhombic

Record 3
# Hf2TcHg (PBE-GGA, optimized geometry)
data_Hf2TcHg
_chemical_formula_sum 'Hf6 Tc3 Hg3'
_cell_length_a 3.0837
_cell_length_b 3.0837
_cell_length_c 30.0193
_cell_angle_alpha 90.00
_cell_angle_beta 90.00
_cell_angle_gamma 120.00
_space_group_name_H-M_alt 'R -3 m'
_space_group_IT_number 166
_space_group_name_Hall '-R 3 2"'
loop_
_atom_site_label
_atom_site_fract_x
_atom_site_fract_y
_atom_site_fract_z
Hf1 0.0000 0.0000 0.0820
Tc1 0.0000 0.0000 0.0000
Hg1 0.0000 0.0000 0.5000
# Calculated formation energy (meV per atom): 376.2
# Crystal system: trigonal

Record 4
# Hf5Tc4Hg (PBE-GGA, optimized geometry)
data_Hf5Tc4Hg
_chemical_formula_sum 'Hf5 Tc4 Hg1'
_cell_length_a 3.2929
_cell_length_b 3.2929
_cell_length_c 16.8534
_cell_angle_alpha 90.00
_cell_angle_beta 90.00
_cell_angle_gamma 90.00
_space_group_name_H-M_alt 'P 4/m m m'
_space_group_IT_number 123
_space_group_name_Hall '-P 4 2'
loop_
_atom_site_label
_atom_site_fract_x
_atom_site_fract_y
_atom_site_fract_z
Hf1 0.0000 0.0000 0.0000
Hf2 0.0000 0.0000 0.1913
Hf3 0.0000 0.0000 0.3789
Tc1 0.5000 0.5000 0.0968
Tc2 0.5000 0.5000 0.2924
Hg1 0.5000 0.5000 0.5000
# Calculated formation energy (meV per atom): -437.7
# Crystal system: tetragonal

Record 5
# HfTc2Hg (PBE-GGA, optimized geometry)
data_HfTc2Hg
_chemical_formula_sum 'Hf4 Tc8 Hg4'
_cell_length_a 4.0477
_cell_length_b 4.0477
_cell_length_c 19.4966
_cell_angle_alpha 90.00
_cell_angle_beta 90.00
_cell_angle_gamma 90.00
_space_group_name_H-M_alt 'I -4 2 d'
_space_group_IT_number 122
_space_group_name_Hall 'I -4 2bw'
loop_
_atom_site_label
_atom_site_fract_x
_atom_site_fract_y
_atom_site_fract_z
Hf1 0.0000 0.0000 0.0000
Tc1 0.1679 0.2500 0.1250
Hg1 0.0000 0.0000 0.5000
# Calculated formation energy (meV per atom): 594.3
# Crystal system: tetragonal

Record 6
# Hf2TcHg (PBE-GGA, optimized geometry)
data_Hf2TcHg
_chemical_formula_sum 'Hf2 Tc1 Hg1'
_cell_length_a 3.2998
_cell_length_b 3.2998
_cell_length_c 7.1818
_cell_angle_alpha 90.00
_cell_angle_beta 90.00
_cell_angle_gamma 90.00
_space_group_name_H-M_alt 'P 4/m m m'
_space_group_IT_number 123
_space_group_name_Hall '-P 4 2'
loop_
_atom_site_label
_atom_site_fract_x
_atom_site_fract_y
_atom_site_fract_z
Hf1 0.0000 0.0000 0.2169
Tc1 0.5000 0.5000 0.0000
Hg1 0.5000 0.5000 0.5000
# Calculated formation energy (meV per atom): -347.4
# Crystal system: tetragonal

Record 7
# Hf3TcHg (PBE-GGA, optimized geometry)
data_Hf3TcHg
_chemical_formula_sum 'Hf3 Tc1 Hg1'
_cell_length_a 4.9865
_cell_length_b 4.9865
_cell_length_c 4.9865
_cell_angle_alpha 90.00
_cell_angle_beta 90.00
_cell_angle_gamma 90.00
_space_group_name_H-M_alt 'P m -3 m'
_space_group_IT_number 221
_space_group_name_Hall '-P 4 2 3'
loop_
_atom_site_label
_atom_site_fract_x
_atom_site_fract_y
_atom_site_fract_z
Hf1 0.0000 0.0000 0.5000
Tc1 0.0000 0.0000 0.0000
Hg1 0.5000 0.5000 0.5000
# Calculated formation energy (meV per atom): 472.1
# Distance to the lowest polymorph of the same formula (kJ/mol of atoms): 0.00
# Crystal system: cubic

Record 8
# HfTcHg (PBE-GGA, optimized geometry)
data_HfTcHg
_chemical_formula_sum 'Hf6 Tc6 Hg6'
_cell_length_a 4.6758
_cell_length_b 4.6758
_cell_length_c 19.5742
_cell_angle_alpha 90.00
_cell_angle_beta 90.00
_cell_angle_gamma 120.00
_space_group_name_H-M_alt 'R -3 m'
_space_group_IT_number 166
_space_group_name_Hall '-R 3 2"'
loop_
_atom_site_label
_atom_site_fract_x
_atom_site_fract_y
_atom_site_fract_z
Hf1 0.0000 0.0000 0.0843
Tc1 0.0000 0.0000 0.2081
Hg1 0.0000 0.0000 0.3674
# Calculated formation energy (meV per atom): 409.3
# Crystal system: trigonal

Record 9
# Hf2TcHg (PBE-GGA, optimized geometry)
data_Hf2TcHg
_chemical_formula_sum 'Hf8 Tc4 Hg4'
_cell_length_a 4.1966
_cell_length_b 4.1966
_cell_length_c 19.2552
_cell_angle_alpha 90.00
_cell_angle_beta 90.00
_cell_angle_gamma 90.00
_space_group_name_H-M_alt 'I -4 2 d'
_space_group_IT_number 122
_space_group_name_Hall 'I -4 2bw'
loop_
_atom_site_label
_atom_site_fract_x
_atom_site_fract_y
_atom_site_fract_z
Hf1 0.2379 0.2500 0.1250
Tc1 0.0000 0.0000 0.0000
Hg1 0.0000 0.0000 0.5000
# Calculated formation energy (meV per atom): 594.0
# Crystal system: tetragonal

Record 10
# Hf3TcHg (PBE-GGA, optimized geometry)
data_Hf3TcHg
_chemical_formula_sum 'Hf3 Tc1 Hg1'
_cell_length_a 5.0892
_cell_length_b 5.0892
_cell_length_c 5.0892
_cell_angle_alpha 90.00
_cell_angle_beta 90.00
_cell_angle_gamma 90.00
_space_group_name_H-M_alt 'P m -3 m'
_space_group_IT_number 221
_space_group_name_Hall '-P 4 2 3'
loop_
_atom_site_label
_atom_site_fract_x
_atom_site_fract_y
_atom_site_fract_z
Hf1 0.0000 0.0000 0.5000
Tc1 0.5000 0.5000 0.5000
Hg1 0.0000 0.0000 0.0000
# Calculated formation energy (meV per atom): 1656.9
# Distance to the lowest polymorph of the same formula (kJ/mol of atoms): 114.31
# Crystal system: cubic

Record 11
# HfTcHg3 (PBE-GGA, optimized geometry)
data_HfTcHg3
_chemical_formula_sum 'Hf1 Tc1 Hg3'
_cell_length_a 5.1269
_cell_length_b 5.1269
_cell_length_c 5.1269
_cell_angle_alpha 90.00
_cell_angle_beta 90.00
_cell_angle_gamma 90.00
_space_group_name_H-M_alt 'P m -3 m'
_space_group_IT_number 221
_space_group_name_Hall '-P 4 2 3'
loop_
_atom_site_label
_atom_site_fract_x
_atom_site_fract_y
_atom_site_fract_z
Hf1 0.0000 0.0000 0.0000
Tc1 0.5000 0.5000 0.5000
Hg1 0.0000 0.5000 0.5000
# Calculated formation energy (meV per atom): 1222.2
# Distance to the lowest polymorph of the same formula (kJ/mol of atoms): 0.00
# Crystal system: cubic

Record 12
# Hf4TcHg (PBE-GGA, optimized geometry)
data_Hf4TcHg
_chemical_formula_sum 'Hf4 Tc1 Hg1'
_cell_length_a 3.2600
_cell_length_b 3.2600
_cell_length_c 11.4941
_cell_angle_alpha 90.00
_cell_angle_beta 90.00
_cell_angle_gamma 90.00
_space_group_name_H-M_alt 'P 4/m m m'
_space_group_IT_number 123
_space_group_name_Hall '-P 4 2'
loop_
_atom_site_label
_atom_site_fract_x
_atom_site_fract_y
_atom_site_fract_z
Hf1 0.0000 0.0000 0.1390
Hf2 0.5000 0.5000 0.3187
Tc1 0.5000 0.5000 0.0000
Hg1 0.0000 0.0000 0.5000
# Calculated formation energy (meV per atom): -233.0
# Crystal system: tetragonal

Record 13
# HfTiTcHg (PBE-GGA, optimized geometry)
data_HfTiTcHg
_chemical_formula_sum 'Hf1 Ti1 Tc1 Hg1'
_cell_length_a 3.2304
_cell_length_b 3.2304
_cell_length_c 7.0054
_cell_angle_alpha 90.00
_cell_angle_beta 90.00
_cell_angle_gamma 90.00
_space_group_name_H-M_alt 'P 4 m m'
_space_group_IT_number 99
_space_group_name_Hall 'P 4 -2'
loop_
_atom_site_label
_atom_site_fract_x
_atom_site_fract_y
_atom_site_fract_z
Hf1 0.0000 0.0000 0.0000
Ti1 0.0000 0.0000 0.5696
Tc1 0.5000 0.5000 0.7692
Hg1 0.5000 0.5000 0.3032
# Calculated formation energy (meV per atom): -324.6
# Distance to the lowest polymorph of the same formula (kJ/mol of atoms): 0.00
# Crystal system: tetragonal

Record 14
# HfTiTcHg (PBE-GGA, optimized geometry)
data_HfTiTcHg
_chemical_formula_sum 'Hf4 Ti4 Tc4 Hg4'
_cell_length_a 6.6069
_cell_length_b 6.6069
_cell_length_c 6.6069
_cell_angle_alpha 90.00
_cell_angle_beta 90.00
_cell_angle_gamma 90.00
_space_group_name_H-M_alt 'F -4 3 m'
_space_group_IT_number 216
_space_group_name_Hall 'F -4 2 3'
loop_
_atom_site_label
_atom_site_fract_x
_atom_site_fract_y
_atom_site_fract_z
Hf1 0.0000 0.0000 0.0000
Ti1 0.0000 0.0000 0.5000
Tc1 0.2500 0.2500 0.7500
Hg1 0.2500 0.2500 0.2500
# Calculated formation energy (meV per atom): -123.3
# Distance to the lowest polymorph of the same formula (kJ/mol of atoms): 19.43
# Crystal system: cubic